[1]
A plane-wave DFT calculation with GGA-PBE was carried out for TePbN2F after structural relaxation.

Values from the calculation:
The calculation puts the energy above the most stable polymorph in this dataset at 0.00 kJ/mol of atoms. The value obtained for the density of states at the Fermi level is 2.07 states/eV per cell. The uncorrected formation energy is 4.72 eV per formula unit. As for the magnetization: 0.00 μB/atom. The value obtained for the electronic total energy is -20.7 eV for the cell shown.

Cell lengths 4.5287, 4.5287, 4.2937 Å; angles 90.00, 90.00, 90.00 degrees
Positions (direct):
Te: 0.0000 0.0000 0.0000
Pb: 0.5000 0.5000 0.5000
N: 0.0000 0.5000 0.5000
N: 0.5000 0.0000 0.5000
F: 0.5000 0.5000 0.0000

***

[2]
A plane-wave DFT calculation with GGA-PBE was carried out for TiPbNF2 after structural relaxation.

Values from the calculation:
The calculation puts the energy above the most stable polymorph in this dataset at 62.14 kJ/mol of atoms. The value obtained for the density of states at the Fermi level is 6.31 states/eV per cell. The uncorrected formation energy is -4.88 eV per formula unit. As for the magnetization: 0.00 μB/atom. The value obtained for the electronic total energy is -28.5 eV for the cell shown.

Cell lengths 3.7609, 3.7609, 6.1224 Å; angles 90.00, 90.00, 90.00 degrees
Positions (direct):
Ti: 0.0000 0.0000 0.0000
Pb: 0.0000 0.0000 0.5000
N: 0.5000 0.5000 0.5000
F: 0.0000 0.5000 0.0000
F: 0.5000 0.0000 0.0000

***

[3]
A plane-wave DFT calculation with GGA-PBE was carried out for TiPbNF2 after structural relaxation.

Values from the calculation:
The calculation puts the energy above the most stable polymorph in this dataset at 130.43 kJ/mol of atoms. The value obtained for the density of states at the Fermi level is 2.32 states/eV per cell. The uncorrected formation energy is -1.34 eV per formula unit. As for the magnetization: 0.42 μB/atom. The value obtained for the electronic total energy is -25.0 eV for the cell shown.

Cell lengths 4.5326, 4.5326, 4.4406 Å; angles 90.00, 90.00, 90.00 degrees
Positions (direct):
Ti: 0.0000 0.0000 0.0000
Pb: 0.5000 0.5000 0.5000
N: 0.5000 0.5000 0.0000
F: 0.0000 0.5000 0.5000
F: 0.5000 0.0000 0.5000

***

[4]
A plane-wave DFT calculation with GGA-PBE was carried out for TiPbNF2 after structural relaxation.

Values from the calculation:
The calculation puts the energy above the most stable polymorph in this dataset at 0.00 kJ/mol of atoms. The value obtained for the density of states at the Fermi level is 2.36 states/eV per cell. The uncorrected formation energy is -8.10 eV per formula unit. As for the magnetization: 0.15 μB/atom. The value obtained for the electronic total energy is -31.8 eV for the cell shown.

Cell lengths 4.1747, 4.1747, 4.0255 Å; angles 90.00, 90.00, 90.00 degrees
Positions (direct):
Ti: 0.0000 0.0000 0.0000
Pb: 0.5000 0.5000 0.5000
N: 0.0000 0.0000 0.5000
F: 0.0000 0.5000 0.0000
F: 0.5000 0.0000 0.0000

***

[5]
A plane-wave DFT calculation with GGA-PBE was carried out for TiPbN2F after structural relaxation.

Values from the calculation:
The value obtained for the density of states at the Fermi level is 7.30 states/eV per cell. The uncorrected formation energy is 3.96 eV per formula unit. As for the magnetization: 0.01 μB/atom. The value obtained for the electronic total energy is -26.2 eV for the cell shown.

Cell lengths 4.3047, 4.3047, 4.2167 Å; angles 90.00, 90.00, 90.00 degrees
Positions (direct):
Ti: 0.0000 0.0000 0.0000
Pb: 0.5000 0.5000 0.5000
N: 0.0000 0.5000 0.5000
N: 0.5000 0.0000 0.5000
F: 0.5000 0.5000 0.0000

***

[6]
A plane-wave DFT calculation with GGA-PBE was carried out for TlPbNF2 after structural relaxation.

Values from the calculation:
The calculation puts the energy above the most stable polymorph in this dataset at 77.07 kJ/mol of atoms. The value obtained for the density of states at the Fermi level is 2.31 states/eV per cell. The uncorrected formation energy is 0.57 eV per formula unit. As for the magnetization: 0.23 μB/atom. The value obtained for the electronic total energy is -17.6 eV for the cell shown.

Cell lengths 4.8982, 4.8982, 4.1350 Å; angles 90.00, 90.00, 90.00 degrees
Positions (direct):
Tl: 0.0000 0.0000 0.0000
Pb: 0.5000 0.5000 0.0000
N: 0.0000 0.0000 0.5000
F: 0.0000 0.5000 0.5000
F: 0.5000 0.0000 0.5000

***

[7]
A plane-wave DFT calculation with GGA-PBE was carried out for TlPbNF2 after structural relaxation.

Values from the calculation:
The calculation puts the energy above the most stable polymorph in this dataset at 0.00 kJ/mol of atoms. The value obtained for the density of states at the Fermi level is 2.75 states/eV per cell. The uncorrected formation energy is -3.42 eV per formula unit. As for the magnetization: 0.18 μB/atom. The value obtained for the electronic total energy is -21.6 eV for the cell shown.

Cell lengths 4.7080, 4.7080, 4.4774 Å; angles 90.00, 90.00, 90.00 degrees
Positions (direct):
Tl: 0.0000 0.0000 0.0000
Pb: 0.5000 0.5000 0.5000
N: 0.5000 0.5000 0.0000
F: 0.0000 0.5000 0.5000
F: 0.5000 0.0000 0.5000

***

[8]
A plane-wave DFT calculation with GGA-PBE was carried out for TlPbNF2 after structural relaxation.

Values from the calculation:
The calculation puts the energy above the most stable polymorph in this dataset at 16.98 kJ/mol of atoms. The value obtained for the density of states at the Fermi level is 1.18 states/eV per cell. The uncorrected formation energy is -2.54 eV per formula unit. As for the magnetization: 0.00 μB/atom. The value obtained for the electronic total energy is -20.7 eV for the cell shown.

Cell lengths 4.5836, 4.5836, 4.2441 Å; angles 90.00, 90.00, 90.00 degrees
Positions (direct):
Tl: 0.0000 0.0000 0.0000
Pb: 0.5000 0.5000 0.5000
N: 0.0000 0.0000 0.5000
F: 0.0000 0.5000 0.0000
F: 0.5000 0.0000 0.0000

***

Repeat the fifth record exactly.
A plane-wave DFT calculation with GGA-PBE was carried out for TiPbN2F after structural relaxation.

Values from the calculation:
The value obtained for the density of states at the Fermi level is 7.30 states/eV per cell. The uncorrected formation energy is 3.96 eV per formula unit. As for the magnetization: 0.01 μB/atom. The value obtained for the electronic total energy is -26.2 eV for the cell shown.

Cell lengths 4.3047, 4.3047, 4.2167 Å; angles 90.00, 90.00, 90.00 degrees
Positions (direct):
Ti: 0.0000 0.0000 0.0000
Pb: 0.5000 0.5000 0.5000
N: 0.0000 0.5000 0.5000
N: 0.5000 0.0000 0.5000
F: 0.5000 0.5000 0.0000